Model i:
A PBEsol-optimized structure of NbV3O8. Source: the Alexandria database, functional SCAN.

Summary:
The magnetization comes out at 3.99 μB/cell.

Lattice parameters (Å, degrees): 5.7086 5.7086 9.4437 90.00 90.00 120.47
Element x y z (fractional)
Nb  0.1396  0.8604  0.5000
Nb  0.8604  0.1396  0.0000
V  0.1755  0.3747  0.7293
V  0.3304  0.6696  0.2261
V  0.3747  0.1755  0.2293
V  0.6253  0.8245  0.7293
V  0.6696  0.3304  0.7261
V  0.8245  0.6253  0.2293
O  0.0110  0.5316  0.3498
O  0.0170  0.9830  0.3421
O  0.1693  0.8307  0.1252
O  0.1794  0.3304  0.1164
O  0.3251  0.6749  0.6047
O  0.3304  0.1794  0.6164
O  0.4684  0.9890  0.3498
O  0.4978  0.5022  0.3299
O  0.5022  0.4978  0.8299
O  0.5316  0.0110  0.8498
O  0.6696  0.8206  0.1164
O  0.6749  0.3251  0.1047
O  0.8206  0.6696  0.6164
O  0.8307  0.1693  0.6252
O  0.9830  0.0170  0.8421
O  0.9890  0.4684  0.8498


Model ii:
A PBEsol-optimized structure of NbV3O8. Source: the Alexandria database, functional SCAN.

Summary:
The magnetization comes out at 4.00 μB/cell.

Lattice parameters (Å, degrees): 6.3204 6.3204 6.4800 105.77 105.77 34.86
Element x y z (fractional)
Nb  0.0000  0.0000  0.0000
V  0.6030  0.6030  0.4506
V  0.6987  0.6987  0.0248
V  0.8985  0.8985  0.4102
O  0.0663  0.0663  0.3817
O  0.1759  0.1759  0.0267
O  0.4348  0.4348  0.4159
O  0.5382  0.5382  0.0757
O  0.6572  0.6572  0.7223
O  0.7401  0.7401  0.3559
O  0.8593  0.8593  0.0871
O  0.9368  0.9368  0.7112


Which structure is most stable? model ii, by 84 meV/atom over the runner-up.